Entry 1:
A relaxed Cd2ReNi crystal, computed with PBE.

```
data_Cd2ReNi
_cell_length_a 2.7326
_cell_length_b 4.2337
_cell_length_c 5.6953
_cell_angle_alpha 90.00
_cell_angle_beta 90.00
_cell_angle_gamma 90.00
_space_group_name_H-M_alt 'P m m m'
_space_group_IT_number 47
loop_
_space_group_symop_operation_xyz
'x,y,z'
'-x,-y,-z'
'-x,-y,z'
'x,y,-z'
'x,-y,-z'
'-x,y,z'
'-x,y,-z'
'x,-y,z'
loop_
_atom_site_label
_atom_site_type_symbol
_atom_site_fract_x
_atom_site_fract_y
_atom_site_fract_z
Cd1 Cd 0.0000 0.0000 0.2429
Re1 Re 0.5000 0.5000 0.5000
Ni1 Ni 0.5000 0.5000 0.0000
```

**E above lowest polymorph**: 333.1 meV/atom

=====

Entry 2:
A relaxed Cd2ReNi crystal, computed with PBE.

```
data_Cd2ReNi
_cell_length_a 4.8395
_cell_length_b 4.8395
_cell_length_c 2.8499
_cell_angle_alpha 90.00
_cell_angle_beta 90.00
_cell_angle_gamma 90.00
_space_group_name_H-M_alt 'P 4/m m m'
_space_group_IT_number 123
_space_group_name_Hall '-P 4 2'
loop_
_atom_site_label
_atom_site_type_symbol
_atom_site_fract_x
_atom_site_fract_y
_atom_site_fract_z
Cd1 Cd 0.0000 0.5000 0.0000
Re1 Re 0.0000 0.0000 0.5000
Ni1 Ni 0.5000 0.5000 0.5000
```

**E above lowest polymorph**: 397.8 meV/atom

=====

Entry 3:
A relaxed CdRe2Ni crystal, computed with PBE.

```
data_CdRe2Ni
_cell_length_a 2.9689
_cell_length_b 2.9689
_cell_length_c 7.0727
_cell_angle_alpha 90.00
_cell_angle_beta 90.00
_cell_angle_gamma 90.00
_space_group_name_H-M_alt 'P 4 m m'
_space_group_IT_number 99
loop_
_space_group_symop_operation_xyz
'x,y,z'
'-y,x,z'
'-x,-y,z'
'y,-x,z'
'-x,y,z'
'y,x,z'
'x,-y,z'
'-y,-x,z'
loop_
_atom_site_label
_atom_site_type_symbol
_atom_site_fract_x
_atom_site_fract_y
_atom_site_fract_z
Cd1 Cd 0.0000 0.0000 0.0000
Re1 Re 0.0000 0.0000 0.4794
Re2 Re 0.5000 0.5000 0.6911
Ni1 Ni 0.5000 0.5000 0.2506
```

=====

Entry 4:
A relaxed CdRe2Ni crystal, computed with PBE.

```
data_CdRe2Ni
_cell_length_a 9.0570
_cell_length_b 2.7032
_cell_length_c 5.0603
_cell_angle_alpha 90.00
_cell_angle_beta 98.17
_cell_angle_gamma 90.00
_space_group_name_H-M_alt 'C 1 m 1'
_space_group_IT_number 8
loop_
_space_group_symop_operation_xyz
'x,y,z'
'x,-y,z'
'x+1/2,y+1/2,z'
'x+1/2,-y+1/2,z'
loop_
_atom_site_label
_atom_site_type_symbol
_atom_site_fract_x
_atom_site_fract_y
_atom_site_fract_z
Cd1 Cd 0.0000 0.0000 0.0000
Re1 Re 0.0196 0.5000 0.5090
Re2 Re 0.2612 0.5000 0.3191
Ni1 Ni 0.2475 0.0000 0.7802
```

=====

Number 1: formation energy 567 meV/atom, total energy -4.447 eV/atom, total moment 0.0000 μB per atom. Number 2: formation energy 632 meV/atom, total energy -4.383 eV/atom, total moment 0.0036 μB per atom. Number 3: formation energy 270 meV/atom, total energy -7.629 eV/atom, total moment 0.0000 μB per atom. Number 4: formation energy 419 meV/atom, total energy -7.479 eV/atom, total moment 0.0000 μB per atom.